This record from the Alexandria database describes a relaxed Sm4GeSeCl2 crystal. The functional is PBE.

Unit cell a=7.118 b=4.232 c=7.265 alpha=90.00 beta=110.28 gamma=90.00
Fractional coordinates of all 8 atoms:
Sm  0.229  0.000  0.235
Sm  0.229  0.500  0.751
Sm  0.771  0.000  0.765
Sm  0.771  0.500  0.249
Ge  0.000  0.500  0.000
Se  0.000  0.000  0.500
Cl  0.500  0.000  0.000
Cl  0.500  0.500  0.500

Properties
**Crystal system**: monoclinic
**Fermi-level density of states**: 0.4528 states/eV per atom
**V**: 205.3 Å³/f.u.
**Final energy**: -5.2409 eV/atom
**Energy relative to the elements, uncorrected**: -1.407 eV per atom